The following is a GGA-PBE calculation of a geometry-optimized CoPRu2 structure, from Alexandria.

Cell and atoms, written as POSCAR:
```
CoPRu2
1.0
2.8064 0.0000 0.0000
0.0000 4.1470 0.0000
0.0000 0.0000 4.4975
Co P Ru
1 1 2
Direct
0.0000 0.0000 0.0000
0.5000 0.0000 0.5000
0.0000 0.5000 0.5000
0.5000 0.5000 0.0000
```

Properties
Symmetry: No. 47
Calculated formation energy (meV/atom): 233.2

---

The following is a GGA-PBE calculation of a geometry-optimized TbAl2Hg structure, from Alexandria.

Cell and atoms, written as POSCAR:
```
TbAl2Hg
1.0
4.4115 0.0000 0.0000
0.0000 4.4115 0.0000
0.0000 0.0000 4.3237
Tb Al Hg
1 2 1
Direct
0.0000 0.0000 0.0000
0.0000 0.5000 0.5000
0.5000 0.0000 0.5000
0.5000 0.5000 0.0000
```

Properties
Symmetry: No. 123
Distance to the lowest polymorph of the same formula (meV/atom): 0.0
Calculated formation energy (meV/atom): -341.7

---

The following is a GGA-PBE calculation of a geometry-optimized ZnTe2P structure, from Alexandria.

Cell and atoms, written as POSCAR:
```
ZnTe2P
1.0
2.0042 1.1571 6.7773
-2.0042 1.1571 6.7773
0.0000 -2.3142 6.7773
Zn Te P
1 2 1
Direct
0.0000 0.0000 0.0000
0.2539 0.2539 0.2539
0.4789 0.4789 0.4789
0.7337 0.7337 0.7337
```

Properties
Uncorrected formation energy (eV/atom): 0.125
Symmetry: No. 160
Distance to the lowest polymorph of the same formula (meV/atom): 95.0

---

The following is a GGA-PBE calculation of a geometry-optimized PaZnPd6 structure, from Alexandria.

Cell and atoms, written as POSCAR:
```
PaZnPd6
1.0
2.6475 -4.6822 0.0000
2.6475 4.6822 0.0000
-1.1231 0.0000 5.6497
Pa Zn Pd
1 1 6
Direct
0.0000 0.0000 0.0000
0.0000 0.0000 0.5000
0.0485 0.6073 0.2577
0.3927 0.9515 0.7423
0.4774 0.4774 0.2530
0.5226 0.5226 0.7470
0.6073 0.0485 0.2577
0.9515 0.3927 0.7423
```

Properties
Symmetry: No. 12
Distance to the lowest polymorph of the same formula (meV/atom): 312.2
Calculated formation energy (meV/atom): -338.9

---

The following is a GGA-PBE calculation of a geometry-optimized LaCd2Pb structure, from Alexandria.

Cell and atoms, written as POSCAR:
```
LaCd2Pb
1.0
3.4073 0.0000 0.0000
0.0000 5.0190 0.0000
-0.2075 0.0000 6.6822
La Cd Pb
1 2 1
Direct
0.0000 0.0000 0.0000
0.4730 0.5000 0.7466
0.4975 0.0000 0.5254
0.5266 0.5000 0.2450
```

Properties
Symmetry: No. 6
Calculated formation energy (meV/atom): -235.7

---

The following is a GGA-PBE calculation of a geometry-optimized RbAgS2 structure, from Alexandria.

Cell and atoms, written as POSCAR:
```
RbAgS2
1.0
3.8025 -3.2346 0.0000
3.8025 3.2346 0.0000
-3.3643 0.0000 10.2839
Rb Ag S
2 2 4
Direct
0.1565 0.8435 0.7500
0.8435 0.1565 0.2500
0.0000 0.5000 0.0000
0.5000 0.0000 0.5000
0.3218 0.6204 0.3404
0.3796 0.6782 0.1596
0.6204 0.3218 0.8404
0.6782 0.3796 0.6596
```

Properties
Uncorrected formation energy (eV/atom): -0.477
Symmetry: No. 15
Distance to the lowest polymorph of the same formula (meV/atom): 0.0

---

The following is a GGA-PBE calculation of a geometry-optimized La2Nd4Dy structure, from Alexandria.

Cell and atoms, written as POSCAR:
```
La2Nd4Dy
1.0
7.2136 0.0000 0.0000
-1.7989 8.6329 0.0000
-1.7962 -4.2180 7.9314
La Nd Dy
4 8 2
Direct
0.0000 0.0000 0.0000
0.1086 0.5809 0.8572
0.3189 0.6986 0.5632
0.6380 0.4108 0.1377
0.0278 0.8298 0.2803
0.1409 0.4193 0.1393
0.2146 0.1408 0.7153
0.4973 0.9897 0.9952
0.5276 0.8291 0.2775
0.6103 0.5795 0.8543
0.7144 0.1383 0.7132
0.9207 0.2671 0.4174
0.4217 0.2621 0.4128
0.8183 0.7032 0.5654
```

Properties
Symmetry: No. 1
Distance to the lowest polymorph of the same formula (meV/atom): 0.0
Calculated formation energy (meV/atom): 49.8

---

The following is a GGA-PBE calculation of a geometry-optimized HfAlCd2P structure, from Alexandria.

Cell and atoms, written as POSCAR:
```
HfAlCd2P
1.0
4.8186 0.0000 0.0000
0.0000 4.8186 0.0000
0.0000 0.0000 5.3183
Hf Al Cd P
1 1 2 1
Direct
0.0000 0.0000 0.0000
0.0000 0.0000 0.5000
0.0000 0.5000 0.5000
0.5000 0.0000 0.5000
0.5000 0.5000 0.0000
```

Properties
Symmetry: No. 123
Calculated formation energy (meV/atom): 787.8

---

The following is a GGA-PBE calculation of a geometry-optimized CePr4Tl5 structure, from Alexandria.

Cell and atoms, written as POSCAR:
```
CePr4Tl5
1.0
3.9058 0.0000 0.0000
0.0000 3.9058 0.0000
0.0000 0.0000 19.9021
Ce Pr Tl
1 4 5
Direct
0.0000 0.0000 0.0000
0.0000 0.0000 0.1993
0.0000 0.0000 0.3996
0.0000 0.0000 0.6004
0.0000 0.0000 0.8007
0.5000 0.5000 0.0992
0.5000 0.5000 0.2991
0.5000 0.5000 0.5000
0.5000 0.5000 0.7009
0.5000 0.5000 0.9008
```

Properties
Symmetry: No. 123
Calculated formation energy (meV/atom): -354.9

---

The following is a GGA-PBE calculation of a geometry-optimized Hf2Sn2Sb structure, from Alexandria.

Cell and atoms, written as POSCAR:
```
Hf2Sn2Sb
1.0
8.0056 0.0000 0.0000
0.0000 8.0056 0.0000
0.0000 0.0000 3.8044
Hf Sn Sb
4 4 2
Direct
0.1402 0.3598 0.0000
0.3598 0.8598 0.0000
0.6402 0.1402 0.0000
0.8598 0.6402 0.0000
0.1522 0.6522 0.5000
0.3478 0.1522 0.5000
0.6522 0.8478 0.5000
0.8478 0.3478 0.5000
0.0000 0.0000 0.5000
0.5000 0.5000 0.5000
```

Properties
Uncorrected formation energy (eV/atom): 0.054
Symmetry: No. 127
Distance to the lowest polymorph of the same formula (meV/atom): 285.1

---

The following is a GGA-PBE calculation of a geometry-optimized Er2PdAu6 structure, from Alexandria.

Cell and atoms, written as POSCAR:
```
Er2PdAu6
1.0
6.7234 -1.9929 0.0000
6.7234 1.9929 0.0000
-2.7223 0.0000 6.5091
Er Pd Au
2 1 6
Direct
0.0610 0.0610 0.3177
0.9390 0.9390 0.6823
0.5000 0.5000 0.0000
0.1638 0.1638 0.0024
0.2732 0.2732 0.6734
0.3955 0.3955 0.3291
0.6045 0.6045 0.6709
0.7268 0.7268 0.3266
0.8362 0.8362 0.9976
```

Properties
Symmetry: No. 12
Calculated formation energy (meV/atom): -622.6

---

The following is a GGA-PBE calculation of a geometry-optimized BaLiTl2In structure, from Alexandria.

Cell and atoms, written as POSCAR:
```
BaLiTl2In
1.0
5.3395 0.0000 0.0000
0.0000 5.3395 0.0000
0.0000 0.0000 5.2847
Ba Li Tl In
1 1 2 1
Direct
0.0000 0.0000 0.0000
0.5000 0.5000 0.5000
0.0000 0.5000 0.5000
0.5000 0.0000 0.5000
0.5000 0.5000 0.0000
```

Properties
Symmetry: No. 123
Distance to the lowest polymorph of the same formula (meV/atom): 57.1
Calculated formation energy (meV/atom): -219.6

---

The following is a GGA-PBE calculation of a geometry-optimized Dy12ErSc2 structure, from Alexandria.

Cell and atoms, written as POSCAR:
```
Dy12ErSc2
1.0
3.5486 0.0000 0.0000
0.0000 4.8074 0.0000
-1.7711 0.0000 27.4914
Dy Er Sc
12 1 2
Direct
0.0330 0.0000 0.0653
0.1003 0.0000 0.1958
0.1627 0.0000 0.3201
0.2243 0.0000 0.4473
0.3076 0.5000 0.6182
0.4331 0.5000 0.8695
0.5669 0.5000 0.1305
0.6924 0.5000 0.3818
0.7757 0.0000 0.5527
0.8373 0.0000 0.6799
0.8997 0.0000 0.8042
0.9670 0.0000 0.9347
0.5000 0.5000 0.0000
0.3686 0.5000 0.7423
0.6314 0.5000 0.2577
```

Properties
Symmetry: No. 10
Calculated formation energy (meV/atom): 115.5

---

The following is a GGA-PBE calculation of a geometry-optimized ThU2PaAs4 structure, from Alexandria.

Cell and atoms, written as POSCAR:
```
ThU2PaAs4
1.0
7.1351 0.0000 0.0000
0.0000 4.1043 0.0000
-2.3591 0.0000 6.8104
Th U Pa As
1 2 1 4
Direct
0.0000 0.0000 0.0000
0.5000 0.0000 0.5000
0.5000 0.5000 0.0000
0.0000 0.5000 0.5000
0.2541 0.0000 0.7458
0.2587 0.5000 0.2581
0.7413 0.5000 0.7419
0.7459 0.0000 0.2542
```

Properties
Symmetry: No. 10
Calculated formation energy (meV/atom): -956.1

---

The following is a GGA-PBE calculation of a geometry-optimized Ba6Na2S structure, from Alexandria.

Cell and atoms, written as POSCAR:
```
Ba6Na2S
1.0
8.3103 0.0000 0.0000
0.0000 9.2836 0.0000
-8.2650 0.0000 12.4028
Ba Na S
12 4 2
Direct
0.1347 0.1860 0.4551
0.1347 0.3140 0.9551
0.2900 0.6974 0.4528
0.2900 0.8026 0.9528
0.3613 0.0158 0.2538
0.3613 0.4842 0.7538
0.6387 0.5158 0.2462
0.6387 0.9842 0.7462
0.7100 0.1974 0.0472
0.7100 0.3026 0.5472
0.8653 0.6860 0.0449
0.8653 0.8140 0.5449
0.1960 0.0922 0.7498
0.1960 0.4078 0.2498
0.8040 0.5922 0.7502
0.8040 0.9078 0.2502
0.5000 0.0000 0.5000
0.5000 0.5000 0.0000
```

Properties
Uncorrected formation energy (eV/atom): -0.382
Symmetry: No. 14

---

The following is a GGA-PBE calculation of a geometry-optimized La2Tb2Sm5 structure, from Alexandria.

Cell and atoms, written as POSCAR:
```
La2Tb2Sm5
1.0
11.0793 -1.7695 0.0000
11.0793 1.7695 0.0000
-1.4977 0.0000 8.2663
La Tb Sm
2 2 5
Direct
0.1793 0.1793 0.1481
0.8207 0.8207 0.8519
0.4530 0.4530 0.6413
0.5470 0.5470 0.3587
0.0000 0.0000 0.0000
0.0955 0.0955 0.7376
0.3096 0.3096 0.4658
0.6904 0.6904 0.5342
0.9045 0.9045 0.2624
```

Properties
Symmetry: No. 12
Distance to the lowest polymorph of the same formula (meV/atom): 17.6
Calculated formation energy (meV/atom): 209.0

---

The following is a GGA-PBE calculation of a geometry-optimized NaSnCl2F structure, from Alexandria.

Cell and atoms, written as POSCAR:
```
NaSnCl2F
1.0
5.6486 0.0000 0.0000
0.0000 5.6486 0.0000
0.0000 0.0000 4.5486
Na Sn Cl F
1 1 2 1
Direct
0.0000 0.0000 0.0000
0.5000 0.5000 0.5000
0.0000 0.5000 0.5000
0.5000 0.0000 0.5000
0.5000 0.5000 0.0000
```

Properties
Uncorrected formation energy (eV/atom): -1.526
Symmetry: No. 123

---

The following is a GGA-PBE calculation of a geometry-optimized SiAs2Os structure, from Alexandria.

Cell and atoms, written as POSCAR:
```
SiAs2Os
1.0
3.0463 0.0000 0.0000
0.0000 3.0463 0.0000
0.0000 0.0000 6.9735
Si As Os
1 2 1
Direct
0.0000 0.0000 0.0000
0.5000 0.5000 0.2738
0.5000 0.5000 0.7262
0.0000 0.0000 0.5000
```

Properties
Uncorrected formation energy (eV/atom): 0.403
Symmetry: No. 123

---

The following is a GGA-PBE calculation of a geometry-optimized CsNa2Ga2Sb2 structure, from Alexandria.

Cell and atoms, written as POSCAR:
```
CsNa2Ga2Sb2
1.0
5.4480 -2.1816 0.0000
5.4480 2.1816 0.0000
-3.4161 0.0000 9.9207
Cs Na Ga Sb
1 2 2 2
Direct
0.0000 0.0000 0.0000
0.1320 0.1320 0.4010
0.8680 0.8680 0.5990
0.4254 0.4254 0.3790
0.5746 0.5746 0.6210
0.2140 0.2140 0.7345
0.7860 0.7860 0.2655
```

Properties
Uncorrected formation energy (eV/atom): -0.322
Symmetry: No. 12

---

The following is a GGA-PBE calculation of a geometry-optimized Sc3AgN structure, from Alexandria.

Cell and atoms, written as POSCAR:
```
Sc3AgN
1.0
2.8781 1.6617 6.6921
-2.8781 1.6617 6.6921
0.0000 -3.3234 6.6921
Sc Ag N
6 2 2
Direct
0.0791 0.4450 0.7917
0.2083 0.9209 0.5550
0.4450 0.7917 0.0791
0.5550 0.2083 0.9209
0.7917 0.0791 0.4450
0.9209 0.5550 0.2083
0.3414 0.3414 0.3414
0.6586 0.6586 0.6586
0.1632 0.1632 0.1632
0.8368 0.8368 0.8368
```

Properties
Uncorrected formation energy (eV/atom): -0.671
Symmetry: No. 148
Distance to the lowest polymorph of the same formula (meV/atom): 248.5